# IrOsPt, optimized geometry, DFT GGA-PBEsol
# E_form = 0.063 eV per atom
# Energy relative to the lowest polymorph listed for this composition = 34 meV/atom
data_IrOsPt
_space_group_name_H-M_alt 'I m m 2'
_space_group_IT_number 44
_space_group_name_Hall 'I 2 -2'
_cell_length_a 2.7259
_cell_length_b 3.8443
_cell_length_c 8.1681
_cell_angle_alpha 90.00
_cell_angle_beta 90.00
_cell_angle_gamma 90.00
loop_
_atom_site_label
_atom_site_fract_x
_atom_site_fract_y
_atom_site_fract_z
Ir1 0.0000 0.0000 0.0000
Os1 0.0000 0.0000 0.6569
Pt1 0.0000 0.0000 0.3261

# Sr2RuSe, optimized geometry, DFT GGA-PBEsol
# Formation energy from raw total energies = -0.0554 eV/atom
data_Sr2RuSe
_space_group_name_H-M_alt 'I -4 m 2'
_space_group_IT_number 119
_space_group_name_Hall 'I -4 -2'
_cell_length_a 4.2932
_cell_length_b 4.2932
_cell_length_c 10.9736
_cell_angle_alpha 90.00
_cell_angle_beta 90.00
_cell_angle_gamma 90.00
loop_
_atom_site_label
_atom_site_fract_x
_atom_site_fract_y
_atom_site_fract_z
Sr1 0.0000 0.0000 0.0000
Sr2 0.0000 0.5000 0.2500
Ru1 0.0000 0.0000 0.5000
Se1 0.0000 0.5000 0.7500

# Be2ZnW, optimized geometry, DFT GGA-PBEsol
# E_form = 0.167 eV per atom
data_Be2ZnW
_space_group_name_H-M_alt 'P 4/m m m'
_space_group_IT_number 123
_space_group_name_Hall '-P 4 2'
_cell_length_a 2.6996
_cell_length_b 2.6996
_cell_length_c 6.2199
_cell_angle_alpha 90.00
_cell_angle_beta 90.00
_cell_angle_gamma 90.00
loop_
_atom_site_label
_atom_site_fract_x
_atom_site_fract_y
_atom_site_fract_z
Be1 0.0000 0.0000 0.2272
Zn1 0.5000 0.5000 0.0000
W1 0.5000 0.5000 0.5000

# TcAs2, optimized geometry, DFT GGA-PBEsol
# E_form = 0.127 eV per atom
# Energy relative to the lowest polymorph listed for this composition = 338 meV/atom
data_TcAs2
_space_group_name_H-M_alt 'C m c m'
_space_group_IT_number 63
_space_group_name_Hall '-C 2c 2'
_cell_length_a 3.2075
_cell_length_b 12.3412
_cell_length_c 4.6713
_cell_angle_alpha 90.00
_cell_angle_beta 90.00
_cell_angle_gamma 90.00
loop_
_atom_site_label
_atom_site_fract_x
_atom_site_fract_y
_atom_site_fract_z
Tc1 0.0000 0.1077 0.2500
As1 0.0000 0.2304 0.7500
As2 0.0000 0.4405 0.2500

# AlTlSbTe2, optimized geometry, DFT GGA-PBEsol
# Formation energy from raw total energies = 0.1427 eV/atom
data_AlTlSbTe2
_space_group_name_H-M_alt 'P 4/m m m'
_space_group_IT_number 123
_space_group_name_Hall '-P 4 2'
_cell_length_a 5.3979
_cell_length_b 5.3979
_cell_length_c 5.1999
_cell_angle_alpha 90.00
_cell_angle_beta 90.00
_cell_angle_gamma 90.00
loop_
_atom_site_label
_atom_site_fract_x
_atom_site_fract_y
_atom_site_fract_z
Al1 0.0000 0.0000 0.0000
Tl1 0.5000 0.5000 0.5000
Sb1 0.0000 0.0000 0.5000
Te1 0.0000 0.5000 0.0000

# BeCdP4, optimized geometry, DFT GGA-PBEsol
# E_form = 0.715 eV per atom
data_BeCdP4
_space_group_name_H-M_alt 'F -4 3 m'
_space_group_IT_number 216
_space_group_name_Hall 'F -4 2 3'
_cell_length_a 7.1988
_cell_length_b 7.1988
_cell_length_c 7.1988
_cell_angle_alpha 90.00
_cell_angle_beta 90.00
_cell_angle_gamma 90.00
loop_
_atom_site_label
_atom_site_fract_x
_atom_site_fract_y
_atom_site_fract_z
Be1 0.0000 0.0000 0.0000
Cd1 0.2500 0.2500 0.2500
P1 0.1274 0.1274 0.6274

# KPRhO2, optimized geometry, DFT GGA-PBEsol
# Formation energy from raw total energies = 1.6637 eV/atom
# Energy relative to the lowest polymorph listed for this composition = 1801 meV/atom
data_KPRhO2
_space_group_name_H-M_alt 'P 4/m m m'
_space_group_IT_number 123
_space_group_name_Hall '-P 4 2'
_cell_length_a 3.7894
_cell_length_b 3.7894
_cell_length_c 6.1408
_cell_angle_alpha 90.00
_cell_angle_beta 90.00
_cell_angle_gamma 90.00
loop_
_atom_site_label
_atom_site_fract_x
_atom_site_fract_y
_atom_site_fract_z
K1 0.0000 0.0000 0.0000
P1 0.0000 0.0000 0.5000
Rh1 0.5000 0.5000 0.5000
O1 0.0000 0.5000 0.0000

# BaSr2LaAg, optimized geometry, DFT GGA-PBEsol
# E_form = 0.475 eV per atom
data_BaSr2LaAg
_space_group_name_H-M_alt 'P 4/m m m'
_space_group_IT_number 123
_space_group_name_Hall '-P 4 2'
_cell_length_a 6.4328
_cell_length_b 6.4328
_cell_length_c 5.4670
_cell_angle_alpha 90.00
_cell_angle_beta 90.00
_cell_angle_gamma 90.00
loop_
_atom_site_label
_atom_site_fract_x
_atom_site_fract_y
_atom_site_fract_z
Ba1 0.0000 0.0000 0.0000
Sr1 0.0000 0.5000 0.5000
La1 0.5000 0.5000 0.5000
Ag1 0.5000 0.5000 0.0000

| no. | magnetization (Bohr magnetons per cell) | calculated total energy (eV/cell) | N(E_F) (states/eV/f.u.) |
| --- | --- | --- | --- |
| 1 | 0.00 | -57.6 | 2.4 |
| 2 | 2.96 | -35.8 | 4.5 |
| 3 | 0.00 | -22.7 | 1.2 |
| 4 | 0.00 | -84.4 | 2.2 |
| 5 | 0.00 | -17.6 | 3.4 |
| 6 | 0.00 | -96.3 | 2.0 |
| 7 | 1.49 | -17.2 | 4.9 |
| 8 | 0.00 | -12.1 | 4.6 |